DFT (PBE-GGA) results for crystalline AlBrCl at its relaxed geometry.

The calculation puts the raw formation energy at -0.43 eV per atom. As for the energy above the most stable polymorph in this dataset: 5.323 kcal/mol of atoms.

a = 6.647 Å, b = 6.647 Å, c = 6.647 Å
α = 90.00°, β = 90.00°, γ = 90.00°
Space group F-43m (No. 216)
Unique sites:
Al 0.000 0.000 0.000
Br 0.250 0.250 0.750
Cl 0.250 0.250 0.250